The following is a DFT calculation (GGA+U) of a relaxed structure of CrBO3.

Geometry as POSCAR:
```
CrBO3
1.0
2.324 1.342 4.860
-2.324 1.342 4.860
0.000 -2.683 4.860
Cr B O
2 2 6
Direct
0.000 0.000 0.000 Cr
0.500 0.500 0.500 Cr
0.250 0.250 0.250 B
0.750 0.750 0.750 B
0.048 0.750 0.452 O
0.250 0.548 0.952 O
0.452 0.048 0.750 O
0.548 0.952 0.250 O
0.750 0.452 0.048 O
0.952 0.250 0.548 O
```

Output
Crystal system = trigonal
Final energy = -80.2 eV per cell
Fermi-level density of states = 0.00 states/eV per atom